Below is a crystal of BaTlRh2 relaxed with PBEsol, with properties calculated at the meta-GGA SCAN level.

## Properties
Formation enthalpy at 0 K: 0.01 eV per atom
Density of states at the Fermi level: 3.01 states/eV/f.u.
Calculated total energy: -44.85 eV/atom

abc: 4.175 4.124 10.607
angles: 90.00 90.00 90.00
Space group Amm2 (No. 38)
Inequivalent atoms, fractional coordinates:
Ba 0.000 0.000 0.000 x2
Tl 0.500 0.000 0.709 x2
Rh 0.000 0.000 0.274 x2
Rh 0.500 0.000 0.402 x2